TbGeHO4: relaxed, PBE.

Lattice parameters (Å, degrees): 8.1100 6.5528 6.9692 90.00 115.30 90.00
Fractional coordinates of all 28 atoms:
1 Tb 0.2175 0.1382 0.1046
2 Tb 0.2175 0.3618 0.6046
3 Tb 0.7825 0.6382 0.3954
4 Tb 0.7825 0.8618 0.8954
5 Ge 0.2423 0.6174 0.1221
6 Ge 0.2423 0.8826 0.6221
7 Ge 0.7577 0.1174 0.3779
8 Ge 0.7577 0.3826 0.8779
9 H 0.4742 0.6659 0.8744
10 H 0.4742 0.8341 0.3744
11 H 0.5258 0.1659 0.6256
12 H 0.5258 0.3341 0.1256
13 O 0.0813 0.6886 0.5371
14 O 0.0813 0.8114 0.0371
15 O 0.2241 0.0631 0.7949
16 O 0.2241 0.4369 0.2949
17 O 0.2741 0.0403 0.4375
18 O 0.2741 0.4597 0.9375
19 O 0.4578 0.7408 0.7440
20 O 0.4578 0.7592 0.2440
21 O 0.5422 0.2408 0.7560
22 O 0.5422 0.2592 0.2560
23 O 0.7259 0.5403 0.0625
24 O 0.7259 0.9597 0.5625
25 O 0.7759 0.5631 0.7051
26 O 0.7759 0.9369 0.2051
27 O 0.9187 0.1886 0.9629
28 O 0.9187 0.3114 0.4629

**Space group**: P2_1/c
**Crystal system**: monoclinic
**Energy above the most stable polymorph in this dataset**: 6 meV/atom
**Theoretical density**: 5.88 g/cm3